Pm4Y3Er5: relaxed, PBE.

## Properties
energy	-4.86	eV/atom
calculated formation energy	237.0	meV per atom
space-group type	C2/m

Geometry as POSCAR:
```
Pm4Y3Er5
1.0
5.9070 0.0000 0.0000
2.9535 7.6085 -2.6048
2.9535 -0.8716 9.1542
Pm Y Er
4 3 5
Direct
0.8635 0.2214 0.0516
0.1671 0.0483 0.6174
0.8329 0.9517 0.3826
0.1365 0.7786 0.9484
0.5248 0.6883 0.2622
0.0000 0.5000 0.5000
0.4752 0.3117 0.7378
0.6316 0.9381 0.7986
0.5000 0.5000 0.5000
0.2116 0.4595 0.1174
0.7884 0.5405 0.8826
0.3684 0.0619 0.2014
```


Pr2TeRu: relaxed, PBE.

## Properties
energy	-6.10	eV/atom
uncorrected formation energy	-607	meV/atom
space-group type	R-3m

Geometry as POSCAR:
```
Pr2TeRu
1.0
4.2730 0.0000 0.0000
2.1365 3.7005 0.0000
2.1365 1.2335 7.5015
Pr Ru Te
2 1 1
Direct
0.2627 0.2627 0.2118
0.7373 0.7373 0.7882
0.0000 0.0000 0.0000
0.5000 0.5000 0.5000
```


InGe2PRu: relaxed, PBE.

## Properties
energy	-4.24	eV/atom
calculated formation energy	1087.5	meV per atom
space-group type	P4/mmm

Geometry as POSCAR:
```
InGe2PRu
1.0
4.6098 0.0000 0.0000
0.0000 5.0618 0.0000
0.0000 0.0000 4.6098
Ru Ge P In
1 2 1 1
Direct
0.5000 0.5000 0.5000
0.0000 0.0000 0.5000
0.5000 0.0000 0.0000
0.0000 0.0000 0.0000
0.0000 0.5000 0.0000
```


Ac2ReO8: relaxed, PBE.

## Properties
energy	-7.52	eV/atom
uncorrected formation energy	-2030	meV/atom
space-group type	Cm

Geometry as POSCAR:
```
Ac2ReO8
1.0
-3.0191 3.4160 0.9164
-5.1633 -4.1531 -0.5745
2.0055 0.3297 6.3330
Ac Re O
2 1 8
Direct
0.5187 0.6526 0.2945
0.5187 0.2945 0.6526
0.6487 0.9673 0.9673
0.5530 0.2544 0.0156
0.5530 0.0156 0.2544
0.0194 0.4762 0.4762
0.0245 0.2523 0.5612
0.0245 0.5612 0.2523
0.0206 0.9595 0.9595
0.5594 0.9199 0.6804
0.5594 0.6804 0.9199
```